! PBE V2ReOs, optimized geometry; values from VASP
&SYSTEM
  ibrav = 0, nat = 8, ntyp = 3
/
ATOMIC_SPECIES
V 50.94 V.upf
Re 186.21 Re.upf
Os 190.23 Os.upf
ATOMIC_POSITIONS crystal
V 0.1196 0.6250 0.9946
V 0.3750 0.3696 0.4946
V 0.6304 0.1250 0.0054
V 0.8750 0.8804 0.5054
Re 0.2500 0.7500 0.5000
Re 0.5000 0.5000 0.0000
Os 0.0000 0.0000 0.0000
Os 0.7500 0.2500 0.5000
CELL_PARAMETERS angstrom
-3.4279 3.4279 2.5910
3.4279 -3.4279 2.5910
3.4279 3.4279 -2.5910
! magnetic moment = 0.025 μB/cell
! crystal system = tetragonal
! density = 13.04 Mg/m³
! energy = -9.91 eV per atom
! SG = I-42d (122)